# GGA-PBE AcCo3SiB, optimized geometry
data_AcCo3SiB
_chemical_formula_sum 'Ac4 Co12 Si4 B4'
_cell_length_a 5.549
_cell_length_b 11.523
_cell_length_c 5.564
_cell_angle_alpha 90.00
_cell_angle_beta 90.00
_cell_angle_gamma 90.00
_symmetry_space_group_name_H-M 'C m c m'
_symmetry_Int_Tables_number 63
_symmetry_space_group_name_Hall '-C 2c 2'
loop_
_atom_site_label
_atom_site_fract_x
_atom_site_fract_y
_atom_site_fract_z
Ac1 0.000 0.247 0.250
Co1 0.000 0.301 0.750
Co2 0.241 0.500 0.000
Si1 0.000 0.102 0.750
B1 0.000 0.470 0.750
# - Uncorrected formation energy: -0.312 eV/atom
# - Spin magnetization: 0.0 μB per formula unit

=====

# GGA-PBE SrZnHg2, optimized geometry
data_SrZnHg2
_chemical_formula_sum 'Sr4 Zn4 Hg8'
_cell_length_a 4.426
_cell_length_b 20.079
_cell_length_c 4.820
_cell_angle_alpha 90.00
_cell_angle_beta 90.00
_cell_angle_gamma 90.00
_symmetry_space_group_name_H-M 'C m c m'
_symmetry_Int_Tables_number 63
_symmetry_space_group_name_Hall '-C 2c 2'
loop_
_atom_site_label
_atom_site_fract_x
_atom_site_fract_y
_atom_site_fract_z
Sr1 0.000 0.109 0.250
Zn1 0.000 0.328 0.250
Hg1 0.000 0.255 0.750
Hg2 0.000 0.460 0.250
# - Formation enthalpy at 0 K: -0.339 eV/atom
# - Spin magnetization: 0.0 μB per formula unit

=====

# GGA-PBE Pr6Ir2O, optimized geometry
data_Pr6Ir2O
_chemical_formula_sum 'Pr12 Ir4 O2'
_cell_length_a 6.628
_cell_length_b 7.364
_cell_length_c 11.847
_cell_angle_alpha 90.00
_cell_angle_beta 122.39
_cell_angle_gamma 90.00
_symmetry_space_group_name_H-M 'P 1 21/c 1'
_symmetry_Int_Tables_number 14
loop_
_symmetry_equiv_pos_as_xyz
'x,y,z'
'-x,-y,-z'
'-x,y+1/2,-z+1/2'
'x,-y+1/2,z+1/2'
loop_
_atom_site_label
_atom_site_fract_x
_atom_site_fract_y
_atom_site_fract_z
Pr1 0.108 0.039 0.241
Pr2 0.238 0.680 0.066
Pr3 0.379 0.170 0.063
Ir1 0.310 0.110 0.756
O1 0.000 0.000 0.000
# - Uncorrected formation energy: -0.959 eV/atom
# - Spin magnetization: 0.0 μB per formula unit

=====

# GGA-PBE PrInSi2Rh5, optimized geometry
data_PrInSi2Rh5
_chemical_formula_sum 'Pr1 In1 Si2 Rh5'
_cell_length_a 4.128
_cell_length_b 4.128
_cell_length_c 10.141
_cell_angle_alpha 90.00
_cell_angle_beta 90.00
_cell_angle_gamma 90.00
_symmetry_space_group_name_H-M 'P 4/m m m'
_symmetry_Int_Tables_number 123
_symmetry_space_group_name_Hall '-P 4 2'
loop_
_atom_site_label
_atom_site_fract_x
_atom_site_fract_y
_atom_site_fract_z
Pr1 0.000 0.000 0.000
In1 0.000 0.000 0.500
Si1 0.500 0.500 0.226
Rh1 0.000 0.500 0.328
Rh2 0.500 0.500 0.000
# - Uncorrected formation energy: -0.488 eV/atom
# - Spin magnetization: 0.0 μB per formula unit